No. 1
DFT (PBE-GGA) results for a geometry-optimized KNaFe2P2 structure.

Properties
The value obtained for the calculated total energy is -5.44 eV per atom.

abc: 3.7843 3.7843 9.1077
angles: 90.00 90.00 90.00
Closest atoms and distances in Å follow each position.
Fractional coordinates of all 6 atoms:
K 0.0000 0.0000 0.0000  4 P 3.25, 4 Fe 3.52
Na 0.5000 0.5000 0.4084  4 P 2.98, 4 Fe 3.07
Fe 0.0000 0.5000 0.6744  4 P 2.20
Fe 0.5000 0.0000 0.6744  4 P 2.20
P 0.0000 0.0000 0.5513  4 Fe 2.20
P 0.5000 0.5000 0.7979  4 Fe 2.20


No. 2
DFT (PBE-GGA) results for a geometry-optimized KNbFe structure.

Properties
The offset from the most stable computed form is 0.9965 eV per atom.

abc: 4.8359 4.8359 4.8359
angles: 60.00 60.00 60.00
Closest atoms and distances in Å follow each position.
Fractional coordinates of all 3 atoms:
K 0.0000 0.0000 0.0000  4 Nb 2.96, 4 Fe 2.96
Nb 0.2500 0.2500 0.2500  4 K 2.96
Fe 0.7500 0.7500 0.7500  4 K 2.96


No. 3
DFT (PBE-GGA) results for a geometry-optimized KNbFe structure.

Properties
The offset from the most stable computed form is 0.0000 eV per atom.

abc: 4.4606 4.4606 4.4606
angles: 60.00 60.00 60.00
Closest atoms and distances in Å follow each position.
Fractional coordinates of all 3 atoms:
K 0.0000 0.0000 0.0000  4 Fe 2.73
Nb 0.5000 0.5000 0.5000  4 Fe 2.73
Fe 0.2500 0.2500 0.2500  4 Nb 2.73, 4 K 2.73


No. 4
DFT (PBE-GGA) results for a geometry-optimized KNdFe structure.

Properties
The value obtained for the calculated total energy is -3.23 eV per atom.

abc: 5.1198 5.1198 5.1198
angles: 60.00 60.00 60.00
Closest atoms and distances in Å follow each position.
Fractional coordinates of all 3 atoms:
K 0.0000 0.0000 0.0000  4 Fe 3.14, 4 Nd 3.14
Nd 0.2500 0.2500 0.2500  4 K 3.14
Fe 0.7500 0.7500 0.7500  4 K 3.14


No. 5
DFT (PBE-GGA) results for a geometry-optimized KNdFeS3 structure.

Properties
The offset from the most stable computed form is 0.0081 eV per atom.

abc: 7.3323 7.3323 10.8124
angles: 90.00 90.00 147.79
Closest atoms and distances in Å follow each position.
Fractional coordinates of all 12 atoms:
K 0.2432 0.7568 0.7500  6 S 3.26-3.32
K 0.7568 0.2432 0.2500  6 S 3.26-3.32
Nd 0.5000 0.5000 0.0000  6 S 2.82-2.84
Nd 0.5000 0.5000 0.5000  6 S 2.82-2.84
Fe 0.0299 0.9701 0.2500  4 S 2.29-2.41
Fe 0.9701 0.0299 0.7500  4 S 2.29-2.41
S 0.1252 0.8748 0.0788  1 Fe 2.29
S 0.1252 0.8748 0.4212  1 Fe 2.29
S 0.4378 0.5622 0.2500  2 Fe 2.41
S 0.5622 0.4378 0.7500  2 Fe 2.41
S 0.8748 0.1252 0.5788  1 Fe 2.29
S 0.8748 0.1252 0.9212  1 Fe 2.29


No. 6
DFT (PBE-GGA) results for a geometry-optimized KNdFeS3 structure.

Properties
The offset from the most stable computed form is 0.0062 eV per atom.

abc: 10.8816 4.0686 13.9271
angles: 90.00 90.00 90.00
Closest atoms and distances in Å follow each position.
Fractional coordinates of all 24 atoms:
K 0.2129 0.2500 0.0079  7 S 3.30-3.38
K 0.2871 0.7500 0.5079  7 S 3.30-3.38
K 0.7129 0.2500 0.4921  7 S 3.30-3.38
K 0.7871 0.7500 0.9921  7 S 3.30-3.38
Nd 0.0151 0.7500 0.2645  6 S 2.82-2.86
Nd 0.4849 0.2500 0.7645  6 S 2.82-2.86
Nd 0.5151 0.7500 0.2355  6 S 2.82-2.86
Nd 0.9849 0.2500 0.7355  6 S 2.82-2.86
Fe 0.2330 0.7500 0.7817  4 S 2.29-2.40
Fe 0.2670 0.2500 0.2817  4 S 2.29-2.40
Fe 0.7330 0.7500 0.7183  4 S 2.29-2.40
Fe 0.7670 0.2500 0.2183  4 S 2.29-2.40
S 0.0533 0.7500 0.8672  1 Fe 2.29
S 0.1046 0.2500 0.3859  1 Fe 2.29
S 0.2398 0.2500 0.6904  2 Fe 2.40
S 0.2602 0.7500 0.1904  2 Fe 2.40
S 0.3954 0.7500 0.8859  1 Fe 2.29
S 0.4467 0.2500 0.3672  1 Fe 2.29
S 0.5533 0.7500 0.6328  1 Fe 2.29
S 0.6046 0.2500 0.1141  1 Fe 2.29
S 0.7398 0.2500 0.8096  2 Fe 2.40
S 0.7602 0.7500 0.3096  2 Fe 2.40
S 0.8954 0.7500 0.6141  1 Fe 2.29
S 0.9467 0.2500 0.1328  1 Fe 2.29


No. 7
DFT (PBE-GGA) results for a geometry-optimized KNdFeS3 structure.

Properties
The offset from the most stable computed form is 0.0000 eV per atom.

abc: 14.5323 4.0375 11.0250
angles: 90.00 90.00 90.00
Closest atoms and distances in Å follow each position.
Fractional coordinates of all 24 atoms:
K 0.2317 0.2500 0.0362  6 S 3.18-3.39
K 0.2683 0.7500 0.5362  6 S 3.18-3.39
K 0.7317 0.2500 0.4638  6 S 3.18-3.39
K 0.7683 0.7500 0.9638  6 S 3.18-3.39
Nd 0.0152 0.2500 0.3412  6 S 2.79-2.93
Nd 0.4848 0.7500 0.8412  6 S 2.79-2.93
Nd 0.5152 0.2500 0.1588  6 S 2.79-2.93
Nd 0.9848 0.7500 0.6588  6 S 2.79-2.93
Fe 0.0101 0.7500 0.0844  4 S 2.28-2.41
Fe 0.4899 0.2500 0.5844  4 S 2.28-2.41
Fe 0.5101 0.7500 0.4156  4 S 2.28-2.41
Fe 0.9899 0.2500 0.9156  4 S 2.28-2.41
S 0.0790 0.7500 0.8934  3 Fe 2.33-2.41
S 0.1006 0.2500 0.5677  3 Nd 2.79-2.81
S 0.1230 0.7500 0.2281  1 Fe 2.28
S 0.3770 0.2500 0.7281  1 Fe 2.28
S 0.3994 0.7500 0.0677  3 Nd 2.79-2.81
S 0.4210 0.2500 0.3934  3 Fe 2.33-2.41
S 0.5790 0.7500 0.6066  3 Fe 2.33-2.41
S 0.6006 0.2500 0.9323  3 Nd 2.79-2.81
S 0.6230 0.7500 0.2719  1 Fe 2.28
S 0.8770 0.2500 0.7719  1 Fe 2.28
S 0.8994 0.7500 0.4323  3 Nd 2.79-2.81
S 0.9210 0.2500 0.1066  3 Fe 2.33-2.41


No. 8
DFT (PBE-GGA) results for a geometry-optimized KNdFeS3 structure.

Properties
The offset from the most stable computed form is 0.0034 eV per atom.

abc: 8.3722 4.0452 9.9370
angles: 90.00 106.25 90.00
Closest atoms and distances in Å follow each position.
Fractional coordinates of all 12 atoms:
K 0.2496 0.2500 0.2162  6 S 3.17-3.42
K 0.7504 0.7500 0.7838  6 S 3.17-3.42
Nd 0.1859 0.7500 0.6417  6 S 2.79-2.96
Nd 0.8141 0.2500 0.3583  6 S 2.79-2.96
Fe 0.4293 0.2500 0.9102  4 S 2.29-2.41
Fe 0.5707 0.7500 0.0898  4 S 2.29-2.41
S 0.0470 0.7500 0.3516  3 Nd 2.79-2.82
S 0.2934 0.7500 0.9518  3 Fe 2.34-2.41
S 0.4319 0.2500 0.6806  1 Fe 2.29
S 0.5681 0.7500 0.3194  1 Fe 2.29
S 0.7066 0.2500 0.0482  3 Fe 2.34-2.41
S 0.9530 0.2500 0.6484  3 Nd 2.79-2.82


Result set for size of the total moment: 0.00; 6.24; 0.09; 1.83; 7.99; 16.00; 16.01; 8.00 μB/cell, one per record in the order listed.